i | The following is a PBE-GGA calculation of Ba2LiMo after structural relaxation, from Alexandria via LeMat-Bulk.

Calculated values
DOS at the Fermi energy	3.72	states/eV/f.u.
crystal system	cubic

Cell: 8.0914 8.0914 8.0914 Å, 90.00 90.00 90.00°
Closest atoms and distances in Å follow each position.
Space group F-43m (No. 216)
One atom of each set of equivalent atoms:
Ba  0.0000  0.0000  0.0000 [4 per cell]  4 Mo 3.50, 4 Ba 3.50
Ba  0.2500  0.2500  0.2500 [4 per cell]  4 Ba 3.50, 4 Li 3.50
Li  0.0000  0.0000  0.5000 [4 per cell]  4 Ba 3.50, 4 Mo 3.50
Mo  0.2500  0.2500  0.7500 [4 per cell]  4 Ba 3.50, 4 Li 3.50



ii | The following is a PBE-GGA calculation of Ba2LiMo after structural relaxation, from Alexandria via LeMat-Bulk.

Calculated values
DOS at the Fermi energy	4.73	states/eV/f.u.
crystal system	trigonal

Cell: 3.7238 3.7238 33.9236 Å, 90.00 90.00 120.00°
Closest atoms and distances in Å follow each position.
Space group R-3m (No. 166, hexagonal axes)
One atom of each set of equivalent atoms:
Ba  0.0000  0.0000  0.2391 [6 per cell]  3 Mo 3.27
Li  0.0000  0.0000  0.0000 [3 per cell]  6 Li 3.72, 6 Ba 3.85
Mo  0.0000  0.0000  0.5000 [3 per cell]  6 Ba 3.27



iii | The following is a PBE-GGA calculation of Ba2LiMo after structural relaxation, from Alexandria via LeMat-Bulk.

Calculated values
DOS at the Fermi energy	4.28	states/eV/f.u.
crystal system	tetragonal

Cell: 3.8655 3.8655 9.1043 Å, 90.00 90.00 90.00°
Closest atoms and distances in Å follow each position.
Space group P4mm (No. 99)
One atom of each set of equivalent atoms:
Ba  0.0000  0.0000  0.0000 [1 per cell]  1 Li 3.16, 4 Mo 3.50
Ba  0.5000  0.5000  0.4071 [1 per cell]  1 Mo 3.22, 4 Li 3.53
Li  0.0000  0.0000  0.6527 [1 per cell]  4 Mo 2.90, 1 Ba 3.16
Mo  0.5000  0.5000  0.7605 [1 per cell]  4 Li 2.90, 1 Ba 3.22



iv | The following is a PBE-GGA calculation of Ba2LiMo after structural relaxation, from Alexandria via LeMat-Bulk.

Calculated values
DOS at the Fermi energy	2.00	states/eV/f.u.
crystal system	tetragonal

Cell: 9.0611 9.0611 7.1024 Å, 90.00 90.00 90.00°
Closest atoms and distances in Å follow each position.
Space group I-42d (No. 122)
One atom of each set of equivalent atoms:
Ba  0.2360  0.2500  0.1250 [8 per cell]  2 Mo 3.24, 2 Li 3.41, 2 Ba 3.56
Li  0.0000  0.0000  0.5000 [4 per cell]  4 Ba 3.41, 2 Mo 3.55
Mo  0.0000  0.0000  0.0000 [4 per cell]  4 Ba 3.24, 2 Li 3.55



The winner here is iii, beating the second structure by 0.107 eV/atom.



i | The following is a PBE-GGA calculation of Ba2LiMo after structural relaxation, from Alexandria via LeMat-Bulk.

Calculated values
DOS at the Fermi energy	3.16	states/eV/f.u.
crystal system	cubic

Cell: 8.2883 8.2883 8.2883 Å, 90.00 90.00 90.00°
Closest atoms and distances in Å follow each position.
Space group Fm-3m (No. 225)
One atom of each set of equivalent atoms:
Ba  0.2500  0.2500  0.2500 [8 per cell]  4 Mo 3.59, 4 Li 3.59
Li  0.0000  0.0000  0.0000 [4 per cell]  8 Ba 3.59
Mo  0.0000  0.0000  0.5000 [4 per cell]  8 Ba 3.59



ii | The following is a PBE-GGA calculation of Ba2LiMo after structural relaxation, from Alexandria via LeMat-Bulk.

Calculated values
DOS at the Fermi energy	4.50	states/eV/f.u.
crystal system	tetragonal

Cell: 5.0655 5.0655 11.1859 Å, 90.00 90.00 90.00°
Closest atoms and distances in Å follow each position.
Space group I-4m2 (No. 119)
One atom of each set of equivalent atoms:
Ba  0.0000  0.0000  0.0000 [2 per cell]  4 Mo 3.58, 4 Ba 3.77, 4 Li 3.77
Ba  0.0000  0.5000  0.2500 [2 per cell]  4 Li 3.58, 4 Ba 3.77, 4 Mo 3.77
Li  0.0000  0.5000  0.7500 [2 per cell]  8 Ba 3.58-3.77, 4 Mo 3.77
Mo  0.0000  0.0000  0.5000 [2 per cell]  8 Ba 3.58-3.77, 4 Li 3.77



The winner here is i, beating the second structure by 0.116 eV/atom.



i | The following is a PBE-GGA calculation of BaLiMo after structural relaxation, from Alexandria via LeMat-Bulk.

Calculated values
DOS at the Fermi energy	3.60	states/eV/f.u.
crystal system	trigonal

Cell: 5.2827 5.2827 2.9653 Å, 90.00 90.00 120.00°
Closest atoms and distances in Å follow each position.
Space group P3m1 (No. 156)
One atom of each set of equivalent atoms:
Ba  0.0000  0.0000  0.0000 [1 per cell]  2 Ba 2.97, 3 Li 3.21
Li  0.6667  0.3333  0.3327 [1 per cell]  2 Li 2.97, 3 Mo 3.11, 3 Ba 3.21
Mo  0.3333  0.6667  0.5422 [1 per cell]  2 Mo 2.97, 3 Li 3.11



ii | The following is a PBE-GGA calculation of BaLiMo after structural relaxation, from Alexandria via LeMat-Bulk.

Calculated values
DOS at the Fermi energy	2.86	states/eV/f.u.
crystal system	cubic

Cell: 7.3966 7.3966 7.3966 Å, 90.00 90.00 90.00°
Closest atoms and distances in Å follow each position.
Space group F-43m (No. 216)
One atom of each set of equivalent atoms:
Ba  0.0000  0.0000  0.0000 [4 per cell]  4 Li 3.20, 4 Mo 3.20
Li  0.2500  0.2500  0.2500 [4 per cell]  4 Ba 3.20
Mo  0.2500  0.2500  0.7500 [4 per cell]  4 Ba 3.20



iii | The following is a PBE-GGA calculation of BaLiMo after structural relaxation, from Alexandria via LeMat-Bulk.

Calculated values
DOS at the Fermi energy	2.54	states/eV/f.u.
crystal system	tetragonal

Cell: 3.0325 3.0325 15.3988 Å, 90.00 90.00 90.00°
Closest atoms and distances in Å follow each position.
Space group I4mm (No. 107)
One atom of each set of equivalent atoms:
Ba  0.0000  0.0000  0.0000 [2 per cell]  4 Ba 3.03
Li  0.0000  0.0000  0.2997 [2 per cell]  4 Mo 2.86, 4 Li 3.03
Mo  0.0000  0.0000  0.6763 [2 per cell]  4 Li 2.86, 4 Mo 3.03



iv | The following is a PBE-GGA calculation of BaLiMo after structural relaxation, from Alexandria via LeMat-Bulk.

Calculated values
DOS at the Fermi energy	3.15	states/eV/f.u.
crystal system	cubic

Cell: 7.2760 7.2760 7.2760 Å, 90.00 90.00 90.00°
Closest atoms and distances in Å follow each position.
Space group F-43m (No. 216)
One atom of each set of equivalent atoms:
Ba  0.0000  0.0000  0.0000 [4 per cell]  4 Li 3.15
Li  0.2500  0.2500  0.7500 [4 per cell]  4 Ba 3.15, 4 Mo 3.15
Mo  0.0000  0.0000  0.5000 [4 per cell]  4 Li 3.15



The winner here is iii, beating the second structure by 0.104 eV/atom.



i | The following is a PBE-GGA calculation of BaLiMo3 after structural relaxation, from Alexandria via LeMat-Bulk.

Calculated values
DOS at the Fermi energy	8.24	states/eV/f.u.
crystal system	cubic

Cell: 4.6912 4.6912 4.6912 Å, 90.00 90.00 90.00°
Closest atoms and distances in Å follow each position.
Space group Pm-3m (No. 221)
One atom of each set of equivalent atoms:
Ba  0.0000  0.0000  0.0000 [1 per cell]  12 Mo 3.32
Li  0.5000  0.5000  0.5000 [1 per cell]  6 Mo 2.35
Mo  0.0000  0.5000  0.5000 [3 per cell]  2 Li 2.35



ii | The following is a PBE-GGA calculation of BaLiMo3 after structural relaxation, from Alexandria via LeMat-Bulk.

Calculated values
DOS at the Fermi energy	9.04	states/eV/f.u.
crystal system	cubic

Cell: 5.0077 5.0077 5.0077 Å, 90.00 90.00 90.00°
Closest atoms and distances in Å follow each position.
Space group Pm-3m (No. 221)
One atom of each set of equivalent atoms:
Ba  0.0000  0.0000  0.0000 [1 per cell]  6 Mo 2.50
Li  0.5000  0.5000  0.5000 [1 per cell]  12 Mo 3.54
Mo  0.0000  0.0000  0.5000 [3 per cell]  2 Ba 2.50



The winner here is i, beating the second structure by 1.099 eV/atom.



i | The following is a PBE-GGA calculation of Ba2NaLiN after structural relaxation, from Alexandria via LeMat-Bulk.

Calculated values
DOS at the Fermi energy	2.09	states/eV/f.u.
crystal system	orthorhombic

Cell: 6.4623 8.7580 6.4988 Å, 90.00 90.00 90.00°
Closest atoms and distances in Å follow each position.
Space group Pmma (No. 51)
One atom of each set of equivalent atoms:
Ba  0.2500  0.1991  0.1915 [4 per cell]  2 N 2.68
Na  0.2500  0.5000  0.6917 [2 per cell]  2 Na 4.08, 8 Ba 4.18-4.24, 2 Li 4.45
Li  0.2500  0.0000  0.8124 [2 per cell]  2 N 2.02
N  0.0000  0.0000  0.0000 [2 per cell]  2 Li 2.02



ii | The following is a PBE-GGA calculation of Ba2NaLiN after structural relaxation, from Alexandria via LeMat-Bulk.

Calculated values
DOS at the Fermi energy	2.75	states/eV/f.u.
crystal system	tetragonal

Cell: 5.8497 5.8497 4.3920 Å, 90.00 90.00 90.00°
Closest atoms and distances in Å follow each position.
Space group P4/mmm (No. 123)
One atom of each set of equivalent atoms:
Ba  0.0000  0.5000  0.0000 [2 per cell]  2 N 2.92
Na  0.0000  0.0000  0.5000 [1 per cell]  8 Ba 3.66
Li  0.5000  0.5000  0.5000 [1 per cell]  2 N 2.20
N  0.5000  0.5000  0.0000 [1 per cell]  2 Li 2.20



The winner here is i, beating the second structure by 0.194 eV/atom.



i | The following is a PBE-GGA calculation of Ba2LiPdN after structural relaxation, from Alexandria via LeMat-Bulk.

Calculated values
DOS at the Fermi energy	2.11	states/eV/f.u.
crystal system	tetragonal

Cell: 5.6171 5.6171 4.0308 Å, 90.00 90.00 90.00°
Closest atoms and distances in Å follow each position.
Space group P4/mmm (No. 123)
One atom of each set of equivalent atoms:
Ba  0.0000  0.5000  0.0000 [2 per cell]  2 N 2.81
Li  0.0000  0.0000  0.5000 [1 per cell]  2 N 2.02
Pd  0.5000  0.5000  0.5000 [1 per cell]  8 Ba 3.46
N  0.0000  0.0000  0.0000 [1 per cell]  2 Li 2.02



ii | The following is a PBE-GGA calculation of Ba2LiPdN after structural relaxation, from Alexandria via LeMat-Bulk.

Calculated values
DOS at the Fermi energy	2.31	states/eV/f.u.
crystal system	tetragonal

Cell: 5.8283 5.8283 3.9941 Å, 90.00 90.00 90.00°
Closest atoms and distances in Å follow each position.
Space group P4/mmm (No. 123)
One atom of each set of equivalent atoms:
Ba  0.0000  0.5000  0.0000 [2 per cell]  2 N 2.91
Li  0.0000  0.0000  0.5000 [1 per cell]  8 Ba 3.53
Pd  0.5000  0.5000  0.5000 [1 per cell]  2 N 2.00
N  0.5000  0.5000  0.0000 [1 per cell]  2 Pd 2.00



The winner here is i, beating the second structure by 0.149 eV/atom.